PAu2Cl (PBE, relaxed); energy relative to the elements, uncorrected = 0.5300 eV/atom; polymorph energy (0 for the lowest one) = 548.5 meV per atom; total energy = -0.215 Ry per atom; DOS(E_F) = 2.14 states/eV/f.u.; space group = No. 123
1.0
-3.1592 -1.3289 3.6512
3.7164 0.3397 3.3393
-0.6618 2.8111 0.4505
Au Cl P
2 1 1
direct
0.0000 0.0000 0.0000
0.5000 0.5000 0.0000
0.5000 0.0000 0.5000
0.0000 0.5000 0.5000